## A
Compound: PaReW
Source: OQMD
Functional: PBE
Structure: relaxed

The total moment comes out at 0.01 Bohr magnetons per cell.

It has space group F-43m (No. 216), with a = 6.286 Å, b = 6.286 Å, c = 6.286 Å, α = 90.00°, β = 90.00° and γ = 90.00°. The asymmetric unit holds Pa at (0.000, 0.000, 0.000), Re at (0.250, 0.250, 0.750) and W at (0.250, 0.250, 0.250).



## B
Compound: PaReW
Source: OQMD
Functional: PBE
Structure: relaxed

The total moment comes out at 1.24 Bohr magnetons per cell.

It has space group F-43m (No. 216), with a = 6.382 Å, b = 6.382 Å, c = 6.382 Å, α = 90.00°, β = 90.00° and γ = 90.00°. The asymmetric unit holds Pa at (0.000, 0.000, 0.000), Re at (0.250, 0.250, 0.750) and W at (0.000, 0.000, 0.500).



In terms of stability, B leads; the second structure lies 546 meV/atom higher.